# TcCO2, optimized geometry, DFT PBE-GGA
# volume: 168.32 Å³/cell
# spin magnetization: 1.09 μB per formula unit
# calculated total energy: -0.27284 hartree per atom
data_TcCO2
_cell_length_a 2.7004
_cell_length_b 2.7004
_cell_length_c 26.6536
_cell_angle_alpha 90.00
_cell_angle_beta 90.00
_cell_angle_gamma 120.00
_space_group_name_H-M_alt 'R -3 m'
_space_group_IT_number 166
_space_group_name_Hall '-R 3 2"'
loop_
_atom_site_label
_atom_site_fract_x
_atom_site_fract_y
_atom_site_fract_z
Tc1 0.0000 0.0000 0.0000
C1 0.0000 0.0000 0.5000
O1 0.0000 0.0000 0.4559


# TeS2Br2, optimized geometry, DFT PBE-GGA
# offset from the most stable computed form: 630 meV per atom
# volume: 286.17 Å³/cell
# spin magnetization: 2.00 μB per formula unit
# calculated total energy: -0.09128 hartree per atom
data_TeS2Br2
_cell_length_a 5.729
_cell_length_b 5.729
_cell_length_c 8.719
_cell_angle_alpha 90.00
_cell_angle_beta 90.00
_cell_angle_gamma 90.00
_space_group_name_H-M_alt 'I 4/m m m'
_space_group_IT_number 139
_space_group_name_Hall '-I 4 2'
loop_
_atom_site_label
_atom_site_fract_x
_atom_site_fract_y
_atom_site_fract_z
Te1 0.000 0.000 0.000
S1 0.000 0.000 0.393
Br1 0.000 0.500 0.250